No. 1
# BiTeOF2

A geometry-optimized BiTeOF2 structure (GGA-PBE, the Alexandria database).

Cell and atoms, written as CIF:
```
data_BiTeOF2
_symmetry_space_group_name_H-M 'P 1'
_symmetry_Int_Tables_number 1
_cell_length_a 4.7565
_cell_length_b 4.7565
_cell_length_c 4.1491
_cell_angle_alpha 90.00
_cell_angle_beta 90.00
_cell_angle_gamma 90.00
loop_
_symmetry_equiv_pos_as_xyz
'x,y,z'
loop_
_atom_site_label
_atom_site_type_symbol
_atom_site_fract_x
_atom_site_fract_y
_atom_site_fract_z
_atom_site_occupancy
Te1 Te 0.0000 0.0000 0.0000 1
Bi1 Bi 0.5000 0.5000 0.5000 1
O1 O 0.0000 0.0000 0.5000 1
F1 F 0.0000 0.5000 0.0000 1
F2 F 0.5000 0.0000 0.0000 1
```

Computed properties:
formation energy (no corrections)	-0.70	eV per atom
energy relative to the lowest polymorph listed for this composition	298	meV per atom
final energy	-3.84	eV per atom

=====

No. 2
# BiTeO2F

A geometry-optimized BiTeO2F structure (GGA-PBE, the Alexandria database).

Cell and atoms, written as CIF:
```
data_BiTeO2F
_symmetry_space_group_name_H-M 'P 1'
_symmetry_Int_Tables_number 1
_cell_length_a 4.5089
_cell_length_b 4.5089
_cell_length_c 4.4676
_cell_angle_alpha 90.00
_cell_angle_beta 90.00
_cell_angle_gamma 90.00
loop_
_symmetry_equiv_pos_as_xyz
'x,y,z'
loop_
_atom_site_label
_atom_site_type_symbol
_atom_site_fract_x
_atom_site_fract_y
_atom_site_fract_z
_atom_site_occupancy
Te1 Te 0.5000 0.5000 0.5000 1
Bi1 Bi 0.0000 0.0000 0.0000 1
O1 O 0.0000 0.5000 0.0000 1
O2 O 0.5000 0.0000 0.0000 1
F1 F 0.0000 0.0000 0.5000 1
```

Computed properties:
formation energy (no corrections)	-0.54	eV per atom
final energy	-4.30	eV per atom

=====

No. 3
# BiTeO2F

A geometry-optimized BiTeO2F structure (GGA-PBE, the Alexandria database).

Cell and atoms, written as CIF:
```
data_BiTeO2F
_symmetry_space_group_name_H-M 'P 1'
_symmetry_Int_Tables_number 1
_cell_length_a 4.2660
_cell_length_b 4.2660
_cell_length_c 4.6769
_cell_angle_alpha 90.00
_cell_angle_beta 90.00
_cell_angle_gamma 90.00
loop_
_symmetry_equiv_pos_as_xyz
'x,y,z'
loop_
_atom_site_label
_atom_site_type_symbol
_atom_site_fract_x
_atom_site_fract_y
_atom_site_fract_z
_atom_site_occupancy
Te1 Te 0.0000 0.0000 0.0000 1
Bi1 Bi 0.5000 0.5000 0.5000 1
O1 O 0.0000 0.5000 0.0000 1
O2 O 0.5000 0.0000 0.0000 1
F1 F 0.0000 0.0000 0.5000 1
```

Computed properties:
formation energy (no corrections)	-0.58	eV per atom
final energy	-4.34	eV per atom